[1]
ReHg2: relaxed, PBE.

## Properties
energy relative to the lowest polymorph listed for this composition = 157 meV/atom
calculated formation energy = 0.71 eV per atom
volume = 21.6 A^3/atom

Lattice parameters (Å, degrees): 6.984 6.984 5.326 90.00 90.00 90.00
Space group I4/mcm (No. 140)
Unique sites:
Re 0.000 0.000 0.250 (multiplicity 4)
Hg 0.191 0.309 0.000 (multiplicity 8)

=====

[2]
KNiPb2: relaxed, PBE.

## Properties
calculated formation energy = 0.02 eV per atom
volume = 26.3 A^3/atom

Lattice parameters (Å, degrees): 3.489 3.432 8.785 90.00 90.30 90.00
Space group P2/m (No. 10)
Unique sites:
K 0.000 0.000 0.000 (multiplicity 1)
Ni 0.000 0.000 0.500 (multiplicity 1)
Pb 0.499 0.500 0.321 (multiplicity 2)

=====

[3]
Ho8Al3Tl2: relaxed, PBE.

## Properties
calculated formation energy = -0.12 eV per atom
volume = 27.9 A^3/atom

Lattice parameters (Å, degrees): 16.699 8.127 5.350 90.00 90.05 90.00
Space group C2/m (No. 12)
Unique sites:
Ho 0.101 0.000 0.000 (multiplicity 4)
Ho 0.105 0.287 0.500 (multiplicity 8)
Ho 0.180 0.500 0.001 (multiplicity 4)
Al 0.000 0.000 0.500 (multiplicity 2)
Al 0.000 0.333 0.000 (multiplicity 4)
Tl 0.228 0.000 0.499 (multiplicity 4)

=====

[4]
SrLa2Tl3: relaxed, PBE.

## Properties
calculated formation energy = -0.42 eV per atom
volume = 32.4 A^3/atom

Lattice parameters (Å, degrees): 3.896 3.896 12.798 90.00 90.00 90.00
Space group P4/mmm (No. 123)
Unique sites:
Sr 0.000 0.000 0.000 (multiplicity 1)
La 0.000 0.000 0.333 (multiplicity 2)
Tl 0.500 0.500 0.172 (multiplicity 2)
Tl 0.500 0.500 0.500 (multiplicity 1)

=====

[5]
CsK3Au4: relaxed, PBE.

## Properties
calculated formation energy = -0.28 eV per atom
volume = 34.3 A^3/atom

Lattice parameters (Å, degrees): 5.7455 5.7455 28.8144 90.00 90.00 120.00
Space group R-3m (No. 166, hexagonal axes)
Unique sites:
Cs 0.0000 0.0000 0.0000 (multiplicity 3)
K 0.0000 0.0000 0.2471 (multiplicity 6)
K 0.0000 0.0000 0.5000 (multiplicity 3)
Au 0.0000 0.0000 0.1283 (multiplicity 6)
Au 0.0000 0.0000 0.3823 (multiplicity 6)

=====

[6]
Ca3La5Se8: relaxed, PBE.

## Properties
final energy = -0.414 Ry/atom
volume = 27.7 A^3/atom

Lattice parameters (Å, degrees): 8.5314 8.5314 21.0982 90.00 90.00 120.00
Space group R-3m (No. 166, hexagonal axes)
Unique sites:
Ca 0.0000 0.5000 0.0000 (multiplicity 9)
La 0.0000 0.0000 0.0000 (multiplicity 3)
La 0.0000 0.0000 0.5000 (multiplicity 3)
La 0.0000 0.5000 0.5000 (multiplicity 9)
Se 0.0000 0.0000 0.2535 (multiplicity 6)
Se 0.0055 0.5028 0.2528 (multiplicity 18)